(1)
Here is Ba3CdPd at its PBEsol-relaxed geometry from Alexandria via LeMat-Bulk. Energies are from meta-GGA SCAN.

Properties
Space-group type: Pm-3m (221)
Total energy (eV per atom): -36.09

a = 6.292 Å, b = 6.292 Å, c = 6.292 Å
α = 90.00°, β = 90.00°, γ = 90.00°
Fractional positions:
Ba 0.000 0.000 0.500
Ba 0.000 0.500 0.000
Ba 0.500 0.000 0.000
Cd 0.000 0.000 0.000
Pd 0.500 0.500 0.500

***

(2)
Here is Na2CuC2O6 at its PBEsol-relaxed geometry from Alexandria via LeMat-Bulk. Energies are from meta-GGA SCAN.

Properties
Formation energy (no corrections) (eV/atom): -1.603
Space-group type: P2_1/c (14)

a = 5.665 Å, b = 8.083 Å, c = 6.143 Å
α = 90.00°, β = 115.22°, γ = 90.00°
Fractional positions:
Na 0.137 0.092 0.314
Na 0.137 0.408 0.814
Na 0.863 0.592 0.186
Na 0.863 0.908 0.686
Cu 0.500 0.000 0.000
Cu 0.500 0.500 0.500
C 0.306 0.732 0.130
C 0.306 0.768 0.630
C 0.694 0.232 0.370
C 0.694 0.268 0.870
O 0.121 0.668 0.598
O 0.121 0.832 0.098
O 0.286 0.574 0.174
O 0.286 0.926 0.674
O 0.480 0.222 0.882
O 0.480 0.278 0.382
O 0.520 0.722 0.618
O 0.520 0.778 0.118
O 0.714 0.074 0.326
O 0.714 0.426 0.826
O 0.879 0.168 0.902
O 0.879 0.332 0.402

***

(3)
Here is CrCdB3 at its PBEsol-relaxed geometry from Alexandria via LeMat-Bulk. Energies are from meta-GGA SCAN.

Properties
Space-group type: Pm-3m (221)
Total energy (eV per atom): -11.83

a = 4.241 Å, b = 4.241 Å, c = 4.241 Å
α = 90.00°, β = 90.00°, γ = 90.00°
Fractional positions:
Cr 0.000 0.000 0.000
Cd 0.500 0.500 0.500
B 0.000 0.500 0.500
B 0.500 0.000 0.500
B 0.500 0.500 0.000

***

(4)
Here is Zn2InP at its PBEsol-relaxed geometry from Alexandria via LeMat-Bulk. Energies are from meta-GGA SCAN.

Properties
Space-group type: Fm-3m (225)
Total energy (eV per atom): -17.28

a = 4.650 Å, b = 4.650 Å, c = 4.650 Å
α = 60.00°, β = 60.00°, γ = 60.00°
Fractional positions:
Zn 0.250 0.250 0.250
Zn 0.750 0.750 0.750
In 0.000 0.000 0.000
P 0.500 0.500 0.500

***

(5)
Here is YIrPb at its PBEsol-relaxed geometry from Alexandria via LeMat-Bulk. Energies are from meta-GGA SCAN.

Properties
Space-group type: F-43m (216)
Total energy (eV per atom): -58.13

a = 4.731 Å, b = 4.731 Å, c = 4.731 Å
α = 60.00°, β = 60.00°, γ = 60.00°
Fractional positions:
Y 0.000 0.000 0.000
Ir 0.250 0.250 0.250
Pb 0.750 0.750 0.750

***

(6)
Here is GeRuS3 at its PBEsol-relaxed geometry from Alexandria via LeMat-Bulk. Energies are from meta-GGA SCAN.

Properties
Formation energy (no corrections) (eV/atom): 0.422
Space-group type: Pm-3m (221)

a = 4.556 Å, b = 4.556 Å, c = 4.556 Å
α = 90.00°, β = 90.00°, γ = 90.00°
Fractional positions:
Ge 0.000 0.000 0.000
Ru 0.500 0.500 0.500
S 0.000 0.500 0.500
S 0.500 0.000 0.500
S 0.500 0.500 0.000

***

Across the entries above, spin magnetization takes the values 0.0, 1.0, 4.0, 0.0, 0.0, 2.0 μB per formula unit, respectively.